1.
## UGaPt4 (PBE)

Data for a relaxed structure of UGaPt4.

Output
- Offset from the most stable computed form: 11 meV per atom

```
UGaPt4
1.0
5.3514 0.0000 0.0000
2.6757 4.6344 0.0000
2.6757 1.5448 4.3694
Pt U Ga
4 1 1
Direct
0.1234 0.6255 0.6255
0.6255 0.6255 0.1234
0.6255 0.6255 0.6255
0.6255 0.1234 0.6255
0.2500 0.2500 0.2500
0.0000 0.0000 0.0000
```

2.
## UGa3Pt (PBE)

Data for a relaxed structure of UGa3Pt.

Output
- Total DFT energy (no corrections): -28.19 eV/f.u.

```
UGa3Pt
1.0
0.0153 0.9140 2.8697
4.1733 -2.4300 0.7517
5.3083 4.2650 0.1937
Ga Pt U
3 1 1
Direct
0.7988 0.6025 0.1076
0.6822 0.9860 0.3409
0.1149 0.4184 0.4756
0.0110 0.8143 0.6833
0.4008 0.2040 0.9037
```

3.
## U4Ga12Pt (PBE)

Data for a relaxed structure of U4Ga12Pt.

Output
- Total DFT energy (no corrections): -92.80 eV/f.u.

```
U4Ga12Pt
1.0
7.4624 0.0000 0.0000
-2.4875 7.0356 0.0000
-2.4875 -3.5178 6.0930
Ga U Pt
12 4 1
Direct
0.5000 0.2500 0.7500
0.5000 0.7500 0.2500
0.2500 0.7500 0.5000
0.7040 0.0000 0.7040
0.7500 0.5000 0.2500
0.7500 0.2500 0.5000
0.7040 0.7040 0.0000
0.2960 0.0000 0.2960
0.2960 0.2960 0.0000
0.0000 0.7040 0.7040
0.2500 0.5000 0.7500
0.0000 0.2960 0.2960
0.0000 0.5000 0.0000
0.5000 0.0000 0.0000
0.5000 0.5000 0.5000
0.0000 0.0000 0.5000
0.0000 0.0000 0.0000
```

4.
## U2GaPt6 (PBE)

Data for a relaxed structure of U2GaPt6.

Output
- Total DFT energy (no corrections): -68.08 eV/f.u.

```
U2GaPt6
1.0
5.9556 -0.0267 -0.0154
0.0249 5.6544 0.0058
0.0249 2.8221 4.8998
Pt U Ga
6 2 1
Direct
0.6894 0.1731 0.6537
0.6894 0.6537 0.1731
0.3106 0.3463 0.8269
0.3106 0.8269 0.8269
0.3106 0.8269 0.3463
0.6894 0.1731 0.1731
0.8314 0.6667 0.6667
0.1686 0.3333 0.3333
0.0000 0.0000 0.0000
```

5.
## UGa3Pt3 (PBE)

Data for a relaxed structure of UGa3Pt3.

Output
- Offset from the most stable computed form: 433 meV per atom

```
UGa3Pt3
1.0
-6.6907 0.5336 1.2829
-0.2990 -6.7146 1.2331
1.3569 1.1512 6.5977
U Pt Ga
2 6 6
Direct
0.0000 0.0000 0.0000
0.5000 0.5000 0.5000
0.0000 0.7500 0.5000
0.5000 0.0000 0.7500
0.2500 0.5000 0.0000
0.5000 0.0000 0.2500
0.7500 0.5000 0.0000
0.0000 0.2500 0.5000
0.5000 0.7500 0.0000
0.7500 0.0000 0.5000
0.0000 0.5000 0.7500
0.0000 0.5000 0.2500
0.5000 0.2500 0.0000
0.2500 0.0000 0.5000
```

6.
## UGa2Pt (PBE)

Data for a relaxed structure of UGa2Pt.

Output
- Total DFT energy (no corrections): -24.88 eV/f.u.

```
UGa2Pt
1.0
4.2797 0.0000 0.0000
2.1398 3.7063 0.0000
2.1398 1.2354 4.8811
Pt Ga U
1 2 1
Direct
0.0000 0.0000 0.0000
0.2788 0.2788 0.1636
0.7212 0.7212 0.8364
0.5000 0.5000 0.5000
```

7.
## U2GaPt9 (PBE)

Data for a relaxed structure of U2GaPt9.

Output
- Total DFT energy (no corrections): -87.69 eV/f.u.

```
U2GaPt9
1.0
4.1107 0.0000 0.0000
0.0000 4.1107 0.0000
0.0000 0.0000 12.1782
Pt U Ga
9 2 1
Direct
0.5000 0.0000 0.8407
0.5000 0.0000 0.5000
0.5000 0.5000 0.3278
0.5000 0.5000 0.0000
0.5000 0.5000 0.6722
0.0000 0.5000 0.5000
0.5000 0.0000 0.1593
0.0000 0.5000 0.1593
0.0000 0.5000 0.8407
0.0000 0.0000 0.6736
0.0000 0.0000 0.3264
0.0000 0.0000 0.0000
```

8.
## UGaPt (PBE)

Data for a relaxed structure of UGaPt.

Output
- Total DFT energy (no corrections): -21.88 eV/f.u.

```
UGaPt
1.0
-2.1270 -1.8465 3.0364
1.2792 -3.3292 -1.1284
6.3201 1.1851 3.6685
Ga Pt U
2 2 2
Direct
0.2441 0.2500 0.4889
0.7559 0.7500 0.5111
0.3254 0.7500 0.7397
0.6746 0.2500 0.2603
0.8424 0.2500 0.8913
0.1576 0.7500 0.1087
```

9.
## UGa2Pt (PBE)

Data for a relaxed structure of UGa2Pt.

Output
- Total DFT energy (no corrections): -24.67 eV/f.u.

```
UGa2Pt
1.0
-1.5016 -0.2611 2.4657
-0.2986 -2.8426 -0.4829
6.9518 -1.4238 4.0829
Ga U Pt
2 1 1
Direct
0.0000 0.0000 0.7814
0.0000 0.0000 0.2186
0.5000 0.5000 0.5000
0.5000 0.5000 0.0000
```

10.
## UGaPt4 (PBE)

Data for a relaxed structure of UGaPt4.

Output
- Offset from the most stable computed form: 0 meV per atom

```
UGaPt4
1.0
-2.3414 -4.1696 -2.6781
4.1526 -1.9506 -0.5898
-1.7847 -0.9789 8.6964
Ga Pt U
2 8 2
Direct
0.0000 0.5000 0.5000
0.5000 0.0000 0.5000
0.4410 0.8392 0.1797
0.9838 0.0821 0.6628
0.7389 0.3395 0.1796
0.6791 0.5824 0.6629
0.5590 0.1608 0.8203
0.3209 0.4176 0.3371
0.0162 0.9179 0.3372
0.2611 0.6605 0.8204
0.1732 0.2498 0.0000
0.8268 0.7502 0.0000
```

11.
## UGa3Pt3 (PBE)

Data for a relaxed structure of UGa3Pt3.

Output
- Offset from the most stable computed form: 0 meV per atom

```
UGa3Pt3
1.0
-1.7394 4.8402 4.5686
-1.9030 -1.7995 6.3613
4.6954 1.3727 5.5128
Ga U Pt
6 2 6
Direct
0.9052 0.4580 0.3757
0.5420 0.7390 0.6243
0.2610 0.9052 0.3757
0.4580 0.2610 0.3757
0.0948 0.5420 0.6243
0.7390 0.0948 0.6243
0.3390 0.3390 0.9829
0.6610 0.6610 0.0171
0.0814 0.8161 0.7947
0.3078 0.0814 0.7947
0.8161 0.3078 0.7947
0.6922 0.9186 0.2053
0.9186 0.1839 0.2053
0.1839 0.6922 0.2053
```

12.
## U2GaPt3 (PBE)

Data for a relaxed structure of U2GaPt3.

Output
- Total DFT energy (no corrections): -47.72 eV/f.u.

```
U2GaPt3
1.0
4.7290 0.0102 2.2233
1.4156 4.5121 2.2233
0.0138 0.0102 5.2255
U Ga Pt
2 1 3
Direct
0.6110 0.6110 0.6110
0.3890 0.3890 0.3890
0.0000 0.0000 0.0000
0.0000 0.5000 0.0000
0.0000 0.0000 0.5000
0.5000 0.0000 0.0000
```

13.
## UGa3Pt2 (PBE)

Data for a relaxed structure of UGa3Pt2.

Output
- Total DFT energy (no corrections): -35.74 eV/f.u.

```
UGa3Pt2
1.0
4.1750 0.0000 0.0000
-2.0875 7.9945 -2.4772
0.0000 0.0934 9.9095
U Pt Ga
3 6 9
Direct
0.1570 0.3140 0.7065
0.0000 0.0000 0.0000
0.8430 0.6860 0.2935
0.4846 0.9693 0.2085
0.6412 0.2824 0.4576
0.8007 0.6014 0.8845
0.3588 0.7176 0.5424
0.1993 0.3986 0.1155
0.5154 0.0307 0.7915
0.3366 0.6733 0.0522
0.0399 0.0798 0.3622
0.6634 0.3267 0.9478
0.5000 0.0000 0.5000
0.7858 0.5715 0.6170
0.3654 0.7307 0.8060
0.9601 0.9202 0.6378
0.2142 0.4285 0.3830
0.6346 0.2693 0.1940
```

14.
## UGaPt (PBE)

Data for a relaxed structure of UGaPt.

Output
- Total DFT energy (no corrections): -22.29 eV/f.u.

```
UGaPt
1.0
3.5147 -6.0877 0.0000
3.5147 6.0877 0.0000
0.0000 0.0000 4.1175
U Ga Pt
3 3 3
Direct
0.4232 0.0000 0.5000
0.5768 0.5768 0.5000
0.0000 0.4232 0.5000
0.0000 0.7581 0.0000
0.7581 0.0000 0.0000
0.2419 0.2419 0.0000
0.6667 0.3333 0.0000
0.0000 0.0000 0.5000
0.3333 0.6667 0.0000
```

15.
## UGaPt (PBE)

Data for a relaxed structure of UGaPt.

Output
- Total DFT energy (no corrections): -21.57 eV/f.u.

```
UGaPt
1.0
-2.1830 -3.0718 2.5818
2.3122 -3.4665 1.8719
0.7035 -0.1040 4.5123
Pt Ga U
1 1 1
Direct
0.2500 0.2500 0.2500
0.0000 0.0000 0.0000
0.5000 0.5000 0.5000
```

16.
## UGa2Pt2 (PBE)

Data for a relaxed structure of UGa2Pt2.

Output
- Total DFT energy (no corrections): -32.41 eV/f.u.

```
UGa2Pt2
1.0
3.9602 0.0000 0.0000
0.0000 3.9602 0.0000
-1.9801 -1.9801 6.0342
Ga U Pt
2 1 2
Direct
0.2500 0.7500 0.5000
0.7500 0.2500 0.5000
0.0000 0.0000 0.0000
0.6098 0.6098 0.2197
0.3902 0.3902 0.7803
```

17.
## U2Ga8Pt (PBE)

Data for a relaxed structure of U2Ga8Pt.

Output
- Total DFT energy (no corrections): -56.88 eV/f.u.

```
U2Ga8Pt
1.0
-3.6642 2.2342 0.4780
-2.1468 -3.6759 0.7252
2.0186 0.9750 10.9173
Ga U Pt
8 2 1
Direct
0.0000 0.5000 0.8712
0.5000 0.0000 0.8712
0.0000 0.5000 0.1288
0.5000 0.0000 0.5000
0.0000 0.5000 0.5000
0.5000 0.0000 0.1288
0.5000 0.5000 0.6902
0.5000 0.5000 0.3098
0.0000 0.0000 0.3118
0.0000 0.0000 0.6882
0.0000 0.0000 0.0000
```

18.
## UZnGaPt (PBE)

Data for a relaxed structure of UZnGaPt.

Output
- Total DFT energy (no corrections): -22.85 eV/f.u.

```
UZnGaPt
1.0
-3.0997 3.5514 -0.2639
-3.0094 0.7757 3.5541
0.5251 3.8009 2.7509
Ga Pt Zn U
1 1 1 1
Direct
0.7500 0.7500 0.7500
0.5000 0.5000 0.5000
0.0000 0.0000 0.0000
0.2500 0.2500 0.2500
```

19.
## V6Ga5Pt (PBE)

Data for a relaxed structure of V6Ga5Pt.

Output
- Total DFT energy (no corrections): -79.32 eV/f.u.

```
V6Ga5Pt
1.0
3.6319 -0.0054 -1.0566
-2.3881 6.5331 -1.4723
0.0985 -0.0694 7.1089
Ga Pt V
5 1 6
Direct
0.5000 0.5000 0.5000
0.5000 0.8430 0.1570
0.5000 0.1570 0.8430
0.0000 0.3297 0.6703
0.0000 0.6703 0.3297
0.0000 0.0000 0.0000
0.7598 0.2596 0.2596
0.7438 0.5742 0.9134
0.2562 0.0866 0.4258
0.2562 0.4258 0.0866
0.7438 0.9134 0.5742
0.2402 0.7404 0.7404
```

20.
## VGa2Pt8 (PBE)

Data for a relaxed structure of VGa2Pt8.

Output
- Total DFT energy (no corrections): -68.16 eV/f.u.

```
VGa2Pt8
1.0
3.8583 0.0000 -1.1091
-0.6554 5.8727 -2.2799
0.0056 0.3325 7.2849
Ga Pt V
2 8 1
Direct
0.7831 0.3502 0.5661
0.2169 0.6498 0.4339
0.3220 0.0705 0.6441
0.9580 0.2718 0.9161
0.6780 0.9295 0.3559
0.0420 0.7282 0.0839
0.8607 0.8115 0.7214
0.3962 0.5478 0.7925
0.6038 0.4522 0.2075
0.1393 0.1885 0.2786
0.5000 0.0000 0.0000
```

| no. | total moment (μB/cell) |
| --- | --- |
| 1 | 1.61 |
| 2 | 2.71 |
| 3 | 8.94 |
| 4 | 4.25 |
| 5 | 6.76 |
| 6 | 2.23 |
| 7 | 3.02 |
| 8 | 2.08 |
| 9 | 1.18 |
| 10 | 2.73 |
| 11 | 4.81 |
| 12 | 4.74 |
| 13 | 7.09 |
| 14 | 6.39 |
| 15 | 1.65 |
| 16 | 2.39 |
| 17 | 4.06 |
| 18 | 2.06 |
| 19 | 0.00 |
| 20 | 0.00 |